1.
A relaxed structure of Ba2SrPd2. Source: Alexandria via LeMat-Bulk, functional PBE-GGA.

The structure in POSCAR format:
```
Ba2SrPd2
1.0
9.287 0.000 0.000
0.000 9.287 0.000
0.000 0.000 3.759
Sr Ba Pd
2 4 4
direct
0.500 0.500 0.000 Sr
0.000 0.000 0.000 Sr
0.864 0.636 0.000 Ba
0.364 0.864 0.000 Ba
0.136 0.364 0.000 Ba
0.636 0.136 0.000 Ba
0.168 0.668 0.500 Pd
0.832 0.332 0.500 Pd
0.332 0.168 0.500 Pd
0.668 0.832 0.500 Pd
```

The crystal system is tetragonal.

2.
A relaxed structure of BaSrPd2. Source: Alexandria via LeMat-Bulk, functional PBE-GGA.

The structure in POSCAR format:
```
BaSrPd2
1.0
-1.868 -0.687 3.925
0.731 -3.766 2.156
5.733 1.684 5.490
Pd Ba Sr
2 1 1
direct
0.252 0.252 0.245 Pd
0.082 0.082 0.755 Pd
0.498 0.498 0.506 Ba
0.669 0.669 0.994 Sr
```

The crystal system is trigonal.

3.
A relaxed structure of BaSrPd10. Source: Alexandria via LeMat-Bulk, functional PBE-GGA.

The structure in POSCAR format:
```
BaSrPd10
1.0
4.433 0.000 0.000
0.000 5.525 0.000
0.000 0.000 9.584
Pd Ba Sr
10 1 1
direct
0.000 0.000 0.662 Pd
0.000 0.000 0.338 Pd
0.500 0.251 0.746 Pd
0.500 0.000 0.500 Pd
0.000 0.500 0.171 Pd
0.500 0.749 0.254 Pd
0.500 0.251 0.254 Pd
0.500 0.500 0.000 Pd
0.500 0.749 0.746 Pd
0.000 0.500 0.829 Pd
0.000 0.000 0.000 Ba
0.000 0.500 0.500 Sr
```

The crystal system is orthorhombic.

4.
A relaxed structure of BaSrPd2. Source: Alexandria via LeMat-Bulk, functional PBE-GGA.

The structure in POSCAR format:
```
BaSrPd2
1.0
-2.663 0.206 -3.626
1.471 -1.549 -3.965
-3.078 -7.069 -0.938
Sr Pd Ba
1 2 1
direct
0.000 0.000 0.000 Sr
0.746 0.746 0.763 Pd
0.254 0.254 0.237 Pd
0.500 0.500 0.500 Ba
```

The crystal system is trigonal.

5.
A relaxed structure of Ba2SrPd. Source: Alexandria via LeMat-Bulk, functional PBE-GGA.

The structure in POSCAR format:
```
Ba2SrPd
1.0
-2.923 2.764 -0.416
-1.617 -2.163 -3.011
-6.082 -5.359 7.117
Pd Ba Sr
1 2 1
direct
0.500 0.500 0.000 Pd
0.000 0.000 0.829 Ba
0.000 0.000 0.171 Ba
0.500 0.500 0.500 Sr
```

The crystal system is tetragonal.

6.
A relaxed structure of Ba3SrPd8. Source: Alexandria via LeMat-Bulk, functional PBE-GGA.

The structure in POSCAR format:
```
Ba3SrPd8
1.0
5.716 0.000 0.000
2.858 4.950 0.000
2.858 1.650 9.310
Ba Pd Sr
3 8 1
direct
0.500 0.500 0.499 Ba
0.375 0.375 0.874 Ba
0.000 0.000 0.001 Ba
0.440 0.938 0.684 Pd
0.938 0.938 0.684 Pd
0.936 0.437 0.191 Pd
0.188 0.188 0.437 Pd
0.938 0.440 0.684 Pd
0.687 0.687 0.938 Pd
0.437 0.936 0.191 Pd
0.437 0.437 0.191 Pd
0.875 0.875 0.376 Sr
```

The crystal system is trigonal.

7.
A relaxed structure of Ba2Sr3Pd3. Source: Alexandria via LeMat-Bulk, functional PBE-GGA.

The structure in POSCAR format:
```
Ba2Sr3Pd3
1.0
-2.932 -0.170 5.529
0.574 -6.895 -3.453
13.268 -1.963 6.976
Sr Ba Pd
6 4 6
direct
0.673 0.346 0.562 Sr
0.050 0.100 0.120 Sr
0.250 0.500 0.752 Sr
0.935 0.871 0.886 Sr
0.746 0.491 0.251 Sr
0.056 0.112 0.381 Sr
0.956 0.911 0.627 Ba
0.654 0.307 0.926 Ba
0.332 0.663 0.072 Ba
0.341 0.683 0.430 Ba
0.777 0.555 0.747 Pd
0.144 0.288 0.938 Pd
0.213 0.427 0.251 Pd
0.163 0.326 0.559 Pd
0.841 0.682 0.063 Pd
0.850 0.700 0.439 Pd
```

The crystal system is monoclinic.

8.
A relaxed structure of Ba2SrPd2. Source: Alexandria via LeMat-Bulk, functional PBE-GGA.

The structure in POSCAR format:
```
Ba2SrPd2
1.0
-1.922 3.961 0.473
-6.408 -0.939 2.550
-0.819 1.266 6.795
Ba Pd Sr
2 2 1
direct
0.815 0.685 0.685 Ba
0.185 0.315 0.315 Ba
0.500 0.693 0.307 Pd
0.500 0.307 0.693 Pd
0.000 0.000 0.000 Sr
```

The crystal system is orthorhombic.

9.
A relaxed structure of Ba4SrPd3. Source: Alexandria via LeMat-Bulk, functional PBE-GGA.

The structure in POSCAR format:
```
Ba4SrPd3
1.0
-0.765 -3.851 6.893
7.746 -0.568 -4.022
-1.031 10.268 5.622
Ba Pd Sr
8 6 2
direct
0.475 0.600 0.340 Ba
0.936 0.205 0.438 Ba
0.125 0.600 0.840 Ba
0.057 0.784 0.540 Ba
0.728 0.784 0.040 Ba
0.868 0.408 0.131 Ba
0.269 0.205 0.938 Ba
0.540 0.408 0.631 Ba
0.687 0.377 0.872 Pd
0.690 0.377 0.372 Pd
0.301 0.605 0.092 Pd
0.913 0.811 0.296 Pd
0.305 0.605 0.592 Pd
0.898 0.811 0.796 Pd
0.662 0.989 0.741 Sr
0.327 0.989 0.241 Sr
```

The crystal system is monoclinic.

10.
A relaxed structure of BaSr2Pd. Source: Alexandria via LeMat-Bulk, functional PBE-GGA.

The structure in POSCAR format:
```
BaSr2Pd
1.0
-2.489 1.434 7.094
-6.764 0.833 -2.541
-2.286 -13.002 1.824
Ba Sr Pd
4 8 4
direct
0.924 0.750 0.750 Ba
0.076 0.250 0.250 Ba
0.424 0.750 0.250 Ba
0.576 0.250 0.750 Ba
0.077 0.238 0.577 Sr
0.423 0.762 0.576 Sr
0.077 0.262 0.924 Sr
0.577 0.262 0.077 Sr
0.923 0.762 0.423 Sr
0.577 0.238 0.424 Sr
0.923 0.738 0.076 Sr
0.423 0.738 0.923 Sr
0.750 0.500 0.916 Pd
0.250 0.000 0.416 Pd
0.750 0.000 0.584 Pd
0.250 0.500 0.084 Pd
```

The crystal system is orthorhombic.

11.
A relaxed structure of BaSrPd2. Source: Alexandria via LeMat-Bulk, functional PBE-GGA.

The structure in POSCAR format:
```
BaSrPd2
1.0
4.618 0.000 0.000
0.000 6.239 0.000
0.000 0.000 8.228
Ba Sr Pd
2 2 4
direct
0.000 0.119 0.681 Ba
0.000 0.881 0.181 Ba
0.500 0.383 0.316 Sr
0.500 0.617 0.816 Sr
0.500 0.862 0.467 Pd
0.000 0.614 0.536 Pd
0.500 0.138 0.967 Pd
0.000 0.386 0.036 Pd
```

The crystal system is orthorhombic.

12.
A relaxed structure of BaSrPd. Source: Alexandria via LeMat-Bulk, functional PBE-GGA.

The structure in POSCAR format:
```
BaSrPd
1.0
4.482 -0.378 -0.618
0.668 7.825 0.006
-0.938 3.936 7.538
Ba Sr Pd
2 2 2
direct
0.629 0.701 0.257 Ba
0.371 0.299 0.743 Ba
0.862 0.806 0.722 Sr
0.138 0.194 0.278 Sr
0.750 0.247 0.500 Pd
0.250 0.753 0.500 Pd
```

The crystal system is triclinic.

Per-record DFT formation energy, eV per atom: -0.27, -0.38, -0.34, -0.42, -0.24, -0.58, -0.40, -0.45, -0.44, -0.35, -0.55, -0.42